Here is a geometry-optimized Na2LiZn2H6 structure from Alexandria. Energies are from GGA-PBE.

The structure in POSCAR format:
```
Na2LiZn2H6
1.0
-3.914 2.674 -1.710
-0.550 -4.906 1.012
-1.861 1.605 6.772
Na Li Zn H
2 1 2 6
Cartesian
-2.285 -1.850 2.336
-4.041 1.224 3.739
0.000 0.000 0.000
-3.205 -1.056 5.686
-3.120 0.430 0.389
-2.796 0.472 5.413
-2.105 -2.100 6.212
-4.698 -1.555 5.370
-3.530 -1.098 0.662
-4.221 1.474 -0.138
-1.627 0.929 0.704
```

Values from the calculation:
calculated volume = 14.41 A^3/atom
crystal system = trigonal

---

Here is a geometry-optimized Na3LiZn2H8 structure from Alexandria. Energies are from GGA-PBE.

The structure in POSCAR format:
```
Na3LiZn2H8
1.0
5.256 0.000 0.000
-2.628 4.552 0.000
0.000 0.000 6.639
Na Li Zn H
3 1 2 8
Cartesian
0.000 3.035 4.346
2.628 1.517 2.293
0.000 0.000 0.000
0.000 0.000 3.319
0.000 3.035 1.428
2.628 1.517 5.211
0.000 3.035 6.476
2.628 1.517 0.163
-1.316 3.795 2.106
3.944 0.757 4.533
0.000 1.515 2.106
2.628 3.037 4.533
1.316 3.795 2.106
1.312 0.757 4.533
```

Values from the calculation:
calculated volume = 11.34 A^3/atom
crystal system = trigonal

---

Here is a geometry-optimized NaLiZn2H6 structure from Alexandria. Energies are from GGA-PBE.

The structure in POSCAR format:
```
NaLiZn2H6
1.0
5.539 0.045 0.047
1.832 6.523 0.105
1.832 -0.137 6.523
Na Li Zn H
2 2 4 12
Cartesian
3.216 5.833 0.793
5.986 0.599 5.881
3.216 1.618 4.854
5.986 4.813 1.820
4.290 5.158 4.133
2.143 2.470 1.343
4.912 1.273 2.541
7.059 3.961 5.331
4.262 6.376 5.226
2.170 1.423 0.086
4.939 0.056 1.448
7.032 5.009 6.589
4.439 5.554 2.573
1.993 4.043 1.005
4.762 0.877 4.101
7.209 2.388 5.669
2.851 4.237 4.263
3.581 2.306 2.259
6.351 2.195 2.411
5.620 4.126 4.415
```

Values from the calculation:
calculated volume = 11.73 A^3/atom
crystal system = monoclinic

---

Here is a geometry-optimized NaLi3Zn4H12 structure from Alexandria. Energies are from GGA-PBE.

The structure in POSCAR format:
```
NaLi3Zn4H12
1.0
-3.041 -5.164 -1.903
3.092 -1.631 5.226
-4.443 4.065 1.808
Na Li Zn H
1 3 4 12
Cartesian
0.000 0.000 0.000
-0.349 -3.613 1.226
-3.827 0.014 0.179
-0.215 0.869 3.726
-4.891 -2.917 -0.568
-2.812 2.691 4.196
1.116 -3.869 4.067
-2.196 -1.365 2.565
-3.404 -0.452 2.017
-1.633 -5.070 1.076
0.266 0.053 5.427
-5.220 0.922 1.193
0.901 -2.400 4.705
-3.832 2.143 3.071
-3.707 -3.869 -0.021
0.165 -4.456 2.901
-1.575 1.812 4.747
-5.127 -1.419 -0.013
-1.971 -2.844 1.970
-1.213 -0.799 3.708
```

Values from the calculation:
calculated volume = 10.61 A^3/atom
crystal system = trigonal

---

Here is a geometry-optimized LiNbH2 structure from Alexandria. Energies are from GGA-PBE.

The structure in POSCAR format:
```
LiNbH2
1.0
-2.882 0.630 0.260
-1.982 -2.191 0.201
-1.159 -0.478 5.176
H Nb Li
2 1 1
Cartesian
-4.504 -1.528 4.369
-1.519 -0.511 1.268
0.000 0.000 0.000
-3.012 -1.020 2.819
```

Values from the calculation:
calculated volume = 9.58 A^3/atom
crystal system = trigonal

---

Here is a geometry-optimized Li2NbH6 structure from Alexandria. Energies are from GGA-PBE.

The structure in POSCAR format:
```
Li2NbH6
1.0
-1.263 -1.542 -2.355
-1.045 -3.409 2.793
-3.213 4.602 0.743
Li Nb H
2 1 6
Cartesian
-2.696 -1.724 0.560
-2.825 1.375 0.621
0.000 0.000 0.000
-1.630 -0.140 0.967
-3.344 1.577 -1.250
-3.891 -0.210 0.214
-0.896 -1.633 -0.471
-2.177 -1.927 2.432
-1.412 -3.319 0.910
```

Values from the calculation:
calculated volume = 7.69 A^3/atom
crystal system = monoclinic

---

Here is a geometry-optimized LiNbH2 structure from Alexandria. Energies are from GGA-PBE.

The structure in POSCAR format:
```
LiNbH2
1.0
0.119 2.357 2.678
-2.170 -0.378 2.809
1.333 -0.963 3.168
H Nb Li
2 1 1
Cartesian
-0.180 0.254 2.164
-0.539 0.762 6.491
-0.359 0.508 4.327
0.000 0.000 0.000
```

Values from the calculation:
calculated volume = 8.04 A^3/atom
crystal system = cubic

---

Here is a geometry-optimized LiNb2H structure from Alexandria. Energies are from GGA-PBE.

The structure in POSCAR format:
```
LiNb2H
1.0
0.000 2.954 2.954
2.954 0.000 2.954
2.954 2.954 0.000
H Nb Li
1 2 1
Cartesian
0.000 0.000 0.000
1.477 1.477 1.477
4.431 4.431 4.431
2.954 2.954 2.954
```

Values from the calculation:
calculated volume = 12.89 A^3/atom
crystal system = cubic

---

Here is a geometry-optimized LiNb2H structure from Alexandria. Energies are from GGA-PBE.

The structure in POSCAR format:
```
LiNb2H
1.0
2.888 0.000 0.000
1.444 2.501 0.000
1.444 0.834 8.275
H Nb Li
1 2 1
Cartesian
2.888 1.667 4.137
1.444 0.834 5.475
4.332 2.501 2.800
0.000 0.000 0.000
```

Values from the calculation:
calculated volume = 14.94 A^3/atom
crystal system = trigonal

---

Here is a geometry-optimized Li2Nb2H7 structure from Alexandria. Energies are from GGA-PBE.

The structure in POSCAR format:
```
Li2Nb2H7
1.0
4.590 0.000 0.000
0.000 4.410 0.077
0.000 0.236 4.404
Li Nb H
2 2 7
Cartesian
0.000 1.204 1.161
4.590 3.441 3.319
2.295 1.412 3.185
2.295 3.234 1.296
1.228 4.528 2.279
3.362 2.205 0.038
3.362 0.118 2.202
1.228 2.441 4.442
0.000 0.000 0.000
3.616 2.323 2.240
0.974 2.323 2.240
```

Values from the calculation:
calculated volume = 8.10 A^3/atom
crystal system = orthorhombic

---

Here is a geometry-optimized Li2NbH structure from Alexandria. Energies are from GGA-PBE.

The structure in POSCAR format:
```
Li2NbH
1.0
-5.005 1.256 -0.281
-1.273 -4.664 1.826
-3.004 -0.403 4.191
H Nb Li
2 2 4
Cartesian
-3.139 -1.704 0.772
-3.708 -3.385 3.395
0.000 0.000 0.000
-5.574 -0.425 2.341
-2.784 -0.214 1.171
-3.427 -2.544 2.083
-4.927 -2.749 4.180
-7.427 -2.115 4.037
```

Values from the calculation:
calculated volume = 12.22 A^3/atom
crystal system = cubic

---

Here is a geometry-optimized LiNbH3 structure from Alexandria. Energies are from GGA-PBE.

The structure in POSCAR format:
```
LiNbH3
1.0
-0.582 -1.455 -2.860
3.204 -0.426 -0.435
-0.179 -2.888 1.505
H Nb Li
3 1 1
Cartesian
1.602 -0.213 -0.217
-0.090 -1.444 0.752
-0.291 -0.727 -1.430
1.221 -2.384 -0.895
0.000 0.000 0.000
```

Values from the calculation:
calculated volume = 6.94 A^3/atom
crystal system = cubic

---

Here is a geometry-optimized LiNbH2 structure from Alexandria. Energies are from GGA-PBE.

The structure in POSCAR format:
```
LiNbH2
1.0
2.956 0.000 0.000
1.478 2.560 0.000
1.478 0.853 5.249
Li Nb H
1 1 2
Cartesian
2.956 1.707 2.753
4.434 2.560 5.206
1.478 0.853 4.077
1.478 0.853 1.085
```

Values from the calculation:
calculated volume = 9.93 A^3/atom
crystal system = trigonal

---

Here is a geometry-optimized Li2NbH6 structure from Alexandria. Energies are from GGA-PBE.

The structure in POSCAR format:
```
Li2NbH6
1.0
-0.824 3.147 3.859
-1.891 -1.763 4.335
2.915 -0.235 4.114
H Nb Li
6 1 2
Cartesian
-0.841 -0.531 5.294
-0.336 1.790 5.069
0.537 -0.642 7.239
1.041 1.679 7.014
-1.230 0.957 7.118
1.431 0.192 5.190
0.000 0.000 0.000
0.150 0.861 9.231
0.050 0.287 3.077
```

Values from the calculation:
calculated volume = 10.10 A^3/atom
crystal system = cubic

---

Here is a geometry-optimized Li3NbH6 structure from Alexandria. Energies are from GGA-PBE.

The structure in POSCAR format:
```
Li3NbH6
1.0
-2.738 0.908 -0.599
-0.537 -4.056 -3.690
-3.477 -5.887 6.977
Li Nb H
6 2 12
Cartesian
-4.462 -7.334 2.042
-1.638 -1.574 -2.145
-2.290 -1.701 0.646
-4.028 -3.445 -1.298
-1.738 -2.944 3.488
-2.725 -5.591 3.986
-3.376 -4.518 1.344
0.000 0.000 0.000
-4.672 -5.725 5.439
-3.512 -3.729 3.158
-2.676 -3.318 -0.039
-4.076 -5.718 2.726
-3.241 -5.306 -0.471
-2.081 -3.311 -2.751
-4.371 -2.843 1.181
-3.221 -0.928 -1.172
-5.520 -3.817 4.961
-1.232 -5.218 -2.273
-3.531 -8.107 3.860
-2.382 -6.192 1.506
```

Values from the calculation:
calculated volume = 7.93 A^3/atom
crystal system = orthorhombic

---

Here is a geometry-optimized LiNb2H structure from Alexandria. Energies are from GGA-PBE.

The structure in POSCAR format:
```
LiNb2H
1.0
-1.479 0.906 -5.575
2.998 -4.759 -1.569
-2.558 -4.186 -3.059
H Nb Li
2 4 2
Cartesian
0.759 -1.926 -3.572
0.600 -5.435 -4.100
-0.877 -1.266 -3.267
0.736 -3.716 -3.621
-0.715 -5.590 -5.305
-1.224 -5.504 -8.214
0.000 0.000 0.000
-1.639 -2.603 -6.104
```

Values from the calculation:
calculated volume = 17.25 A^3/atom
crystal system = tetragonal

---

Here is a geometry-optimized Li2NbH structure from Alexandria. Energies are from GGA-PBE.

The structure in POSCAR format:
```
Li2NbH
1.0
-0.647 1.001 4.029
-3.561 -1.156 1.906
0.071 -2.994 2.946
H Nb Li
1 1 2
Cartesian
0.000 0.000 0.000
-2.069 -1.575 4.440
-1.034 -0.787 2.220
-3.103 -2.362 6.660
```

Values from the calculation:
calculated volume = 13.11 A^3/atom
crystal system = cubic

---

Here is a geometry-optimized Li3Nb5H12 structure from Alexandria. Energies are from GGA-PBE.

The structure in POSCAR format:
```
Li3Nb5H12
1.0
-7.251 0.757 -6.334
1.600 -9.320 1.963
-2.334 4.649 8.137
Li Nb H
12 20 48
Cartesian
-5.130 -2.346 -2.997
-5.437 -5.746 -3.052
-2.978 -3.800 4.183
-2.488 0.768 1.713
-6.729 0.660 -3.262
-2.303 -4.379 0.886
-5.683 0.465 2.880
-1.257 -4.573 7.029
-5.497 -4.681 2.053
-5.007 -0.113 -0.416
-2.549 1.833 6.819
-2.855 -1.568 6.763
-0.890 -2.238 1.979
0.800 -4.660 0.982
0.000 0.000 0.000
-2.611 -1.465 -0.867
-4.793 2.703 0.902
-2.826 -4.281 -2.185
-0.582 -5.152 3.732
-7.281 3.471 2.615
-5.314 -3.514 -0.472
-4.270 2.606 3.973
-3.716 -6.519 -0.207
-3.993 -1.957 1.883
-3.626 0.378 -3.167
-1.167 2.325 4.068
-2.672 -0.400 4.238
-0.705 -7.384 1.151
-0.367 -2.335 5.050
-7.404 1.238 0.034
-5.374 -2.449 4.634
-7.096 -1.676 1.788
-5.117 -0.655 -3.737
-2.521 -3.116 2.215
-6.902 -1.159 -2.995
-4.104 -0.886 -1.829
-4.446 -3.235 3.217
-6.207 -4.124 -3.479
-2.261 -4.960 2.938
0.424 -7.937 2.533
-4.367 -5.222 3.408
-4.698 -3.945 -2.181
-5.744 -1.903 -1.313
-4.811 -7.483 -3.049
-1.323 -3.978 4.981
-1.960 -3.215 -0.869
0.213 -6.788 4.153
-4.325 1.616 2.390
-0.702 -0.398 1.723
-2.343 -5.347 -0.685
-5.256 -6.820 -1.218
-0.686 -3.523 0.639
-2.783 -4.852 6.028
-4.300 -3.658 1.090
-6.513 -4.549 0.517
-7.296 1.768 3.381
-3.685 -0.255 2.676
-1.473 0.635 3.249
-0.690 -5.681 0.385
-2.729 2.907 4.985
-5.202 0.938 -2.262
-7.300 -0.391 3.128
-5.643 1.433 4.452
-3.661 -5.529 1.376
-7.284 -3.516 2.044
-8.198 2.875 -0.387
-6.662 0.065 -1.215
-3.175 3.569 6.816
-6.025 -0.698 4.635
-3.619 1.309 0.358
-3.288 0.031 5.948
-2.241 -2.011 5.080
-8.410 4.024 1.234
-5.724 1.046 0.828
-3.882 -3.028 5.595
-1.779 0.210 7.245
-3.539 -0.678 0.550
-1.083 -2.755 6.762
-5.464 -0.798 1.552
-2.868 -3.259 7.504
```

Values from the calculation:
calculated volume = 8.67 A^3/atom
crystal system = cubic

---

Here is a geometry-optimized LiNbH3 structure from Alexandria. Energies are from GGA-PBE.

The structure in POSCAR format:
```
LiNbH3
1.0
3.703 0.000 0.000
0.000 3.703 0.000
0.000 0.000 3.703
H Nb Li
3 1 1
Cartesian
0.000 1.852 0.000
0.000 0.000 1.852
1.852 0.000 0.000
0.000 0.000 0.000
1.852 1.852 1.852
```

Values from the calculation:
calculated volume = 10.16 A^3/atom
crystal system = cubic

---

Total DFT energy (no corrections) across the listed records, respectively: -2.5046; -2.6966; -2.6999; -2.6918; -4.8658; -3.9090; -4.5189; -5.6607; -6.1124; -4.4298; -3.7947; -4.2715; -4.8114; -3.4624; -3.8547; -5.8147; -3.0922; -4.9427; -4.3490 eV/atom.
M_tot across the listed records, respectively: 0.000; 0.000; 0.000; 0.000; 0.000; 0.322; 0.000; 0.000; 0.000; 0.000; 0.002; 0.000; 0.000; 1.094; 0.000; 0.000; 0.000; 0.000; 0.890 μB per formula unit.